(1)
A plane-wave DFT calculation with PBE-GGA was carried out for crystalline YMn3Te at its relaxed geometry.

Cell lengths 5.0448, 5.0448, 5.0448 Å; angles 90.00, 90.00, 90.00 degrees
Sites, in units of the cell vectors:
Y  0.0000  0.0000  0.0000
Mn  0.0000  0.0000  0.5000
Mn  0.0000  0.5000  0.0000
Mn  0.5000  0.0000  0.0000
Te  0.5000  0.5000  0.5000

Output
E_form (uncorrected) = 1.445 eV/atom
total energy = -5.978 eV per atom
SG = Pm-3m (221)
ΔE to the lowest computed polymorph = 816 meV/atom
DOS at the Fermi energy = 4.05 states/eV/cell



(2)
A plane-wave DFT calculation with PBE-GGA was carried out for crystalline Y2MnTe at its relaxed geometry.

Cell lengths 3.7457, 3.7457, 7.4884 Å; angles 90.00, 90.00, 90.00 degrees
Sites, in units of the cell vectors:
Y  0.0000  0.0000  0.0000
Y  0.5000  0.5000  0.3291
Mn  0.0000  0.0000  0.5548
Te  0.5000  0.5000  0.7533

Output
E_form (uncorrected) = -0.249 eV/atom
total energy = -6.559 eV per atom
SG = P4mm (99)
DOS at the Fermi energy = 3.33 states/eV/cell



(3)
A plane-wave DFT calculation with PBE-GGA was carried out for crystalline Y2MnTe at its relaxed geometry.

Cell lengths 3.9826, 3.9826, 24.1431 Å; angles 90.00, 90.00, 120.00 degrees
Sites, in units of the cell vectors:
Y  0.0000  0.0000  0.2475
Y  0.0000  0.0000  0.7525
Y  0.3333  0.6667  0.4192
Y  0.3333  0.6667  0.9141
Y  0.6667  0.3333  0.0859
Y  0.6667  0.3333  0.5808
Mn  0.0000  0.0000  0.5000
Mn  0.3333  0.6667  0.1667
Mn  0.6667  0.3333  0.8333
Te  0.0000  0.0000  0.0000
Te  0.3333  0.6667  0.6667
Te  0.6667  0.3333  0.3333

Output
E_form (uncorrected) = -0.345 eV/atom
total energy = -6.655 eV per atom
SG = R-3m (166)
DOS at the Fermi energy = 9.70 states/eV/cell



(4)
A plane-wave DFT calculation with PBE-GGA was carried out for crystalline Y2MnTe at its relaxed geometry.

Cell lengths 7.3364, 7.3364, 7.3364 Å; angles 90.00, 90.00, 90.00 degrees
Sites, in units of the cell vectors:
Y  0.0000  0.0000  0.0000
Y  0.0000  0.5000  0.5000
Y  0.2500  0.2500  0.2500
Y  0.2500  0.7500  0.7500
Y  0.5000  0.0000  0.5000
Y  0.5000  0.5000  0.0000
Y  0.7500  0.2500  0.7500
Y  0.7500  0.7500  0.2500
Mn  0.2500  0.2500  0.7500
Mn  0.2500  0.7500  0.2500
Mn  0.7500  0.2500  0.2500
Mn  0.7500  0.7500  0.7500
Te  0.0000  0.0000  0.5000
Te  0.0000  0.5000  0.0000
Te  0.5000  0.0000  0.0000
Te  0.5000  0.5000  0.5000

Output
E_form (uncorrected) = 0.113 eV/atom
total energy = -6.197 eV per atom
SG = F-43m (216)
DOS at the Fermi energy = 21.50 states/eV/cell



(5)
A plane-wave DFT calculation with PBE-GGA was carried out for crystalline Y2MnTe at its relaxed geometry.

Cell lengths 4.3138, 4.0973, 11.3399 Å; angles 90.00, 90.00, 90.00 degrees
Sites, in units of the cell vectors:
Y  0.0000  0.0000  0.0000
Y  0.0000  0.5000  0.5000
Y  0.5000  0.0000  0.2967
Y  0.5000  0.5000  0.7967
Mn  0.5000  0.0000  0.5601
Mn  0.5000  0.5000  0.0601
Te  0.0000  0.0000  0.7172
Te  0.0000  0.5000  0.2172

Output
E_form (uncorrected) = -0.518 eV/atom
total energy = -6.828 eV per atom
SG = Amm2 (38)
DOS at the Fermi energy = 7.66 states/eV/cell



(6)
A plane-wave DFT calculation with PBE-GGA was carried out for crystalline Y2MnTe at its relaxed geometry.

Cell lengths 4.1633, 4.1633, 6.2552 Å; angles 90.00, 90.00, 90.00 degrees
Sites, in units of the cell vectors:
Y  0.0000  0.0000  0.0000
Y  0.5000  0.5000  0.3324
Mn  0.0000  0.0000  0.4782
Te  0.5000  0.5000  0.8256

Output
E_form (uncorrected) = -0.286 eV/atom
total energy = -6.596 eV per atom
SG = P4mm (99)
DOS at the Fermi energy = 4.55 states/eV/cell



> What is the formula in the sixth record?

Y2MnTe



> Which of these has the lowest DOS at the Fermi energy?

number 2



> Which of these has the highest total energy?

YMn3Te